(1)
A plane-wave DFT calculation with PBE was carried out for In3Hg3Bi after structural relaxation.

The energy relative to the elements is 20 meV per atom. The density is 9.88 g cm⁻³.

Cell: 5.542 8.993 8.993 Å, 120.00 90.00 90.00°
Atoms (fractional coordinates):
1 In 0.750 0.633 0.542
2 In 0.750 0.458 0.092
3 In 0.750 0.908 0.367
4 In 0.250 0.367 0.458
5 In 0.250 0.542 0.908
6 In 0.250 0.092 0.633
7 Hg 0.250 0.806 0.771
8 Hg 0.250 0.229 0.035
9 Hg 0.250 0.965 0.194
10 Hg 0.750 0.194 0.229
11 Hg 0.750 0.771 0.965
12 Hg 0.750 0.035 0.806
13 Bi 0.250 0.667 0.333
14 Bi 0.750 0.333 0.667

(2)
A plane-wave DFT calculation with PBE was carried out for TePd3Pb2 after structural relaxation.

The density is 10.74 g cm⁻³.

Cell: 5.384 8.205 6.904 Å, 106.97 112.95 90.00°
Atoms (fractional coordinates):
1 Te 0.802 0.750 0.000
2 Te 0.198 0.250 0.000
3 Pd 0.692 0.250 0.000
4 Pd 0.308 0.750 0.000
5 Pd 0.120 0.059 0.240
6 Pd 0.880 0.441 0.760
7 Pd 0.120 0.559 0.240
8 Pd 0.880 0.941 0.760
9 Pb 0.704 0.603 0.406
10 Pb 0.702 0.103 0.406
11 Pb 0.298 0.897 0.594
12 Pb 0.296 0.397 0.594

(3)
A plane-wave DFT calculation with PBE was carried out for Zr3MoAu after structural relaxation.

The energy relative to the elements is 1145 meV per atom. The density is 7.00 g cm⁻³.

Cell: 5.123 5.123 5.123 Å, 90.00 90.00 90.00°
Atoms (fractional coordinates):
1 Mo 0.500 0.500 0.500
2 Au 0.000 0.000 0.000
3 Zr 0.000 0.500 0.000
4 Zr 0.000 0.000 0.500
5 Zr 0.500 0.000 0.000

Relative energy among the computed polymorphs list, top to bottom, in meV/atom: 0 0 481
Raw total energy list, top to bottom, in eV per atom: -1.837 -4.596 -6.805
DOS(E_F) list, top to bottom, in states/eV per cell: 4.12 6.50 6.04